This record from Alexandria describes crystalline LiSmEr2 at its relaxed geometry. The functional is GGA-PBE.

Output
V (A^3/atom): 28.56
Offset from the most stable computed form (eV/atom): 0.0000
Formation energy (eV/atom): 0.08

Unit cell a=3.606 b=3.606 c=8.785 alpha=90.00 beta=90.00 gamma=90.00
Space group P4/mmm (No. 123)
Inequivalent atoms, fractional coordinates:
Li: 0.000 0.000 0.000 [1 per cell]
Sm: 0.000 0.000 0.500 [1 per cell]
Er: 0.500 0.500 0.218 [2 per cell]

This record from Alexandria describes crystalline Li2SmEr at its relaxed geometry. The functional is GGA-PBE.

Output
V (A^3/atom): 25.96
Offset from the most stable computed form (eV/atom): 0.0024
Formation energy (eV/atom): 0.16

Unit cell a=7.461 b=7.461 c=7.461 alpha=90.00 beta=90.00 gamma=90.00
Space group Fm-3m (No. 225)
Inequivalent atoms, fractional coordinates:
Li: 0.250 0.250 0.250 [8 per cell]
Sm: 0.000 0.000 0.000 [4 per cell]
Er: 0.000 0.000 0.500 [4 per cell]

This record from Alexandria describes crystalline Li2SmEr at its relaxed geometry. The functional is GGA-PBE.

Output
V (A^3/atom): 25.89
Offset from the most stable computed form (eV/atom): 0.0000
Formation energy (eV/atom): 0.15

Unit cell a=3.720 b=3.720 c=7.485 alpha=90.00 beta=90.00 gamma=90.00
Space group P4/mmm (No. 123)
Inequivalent atoms, fractional coordinates:
Li: 0.000 0.000 0.245 [2 per cell]
Sm: 0.500 0.500 0.500 [1 per cell]
Er: 0.500 0.500 0.000 [1 per cell]

This record from Alexandria describes crystalline Li2SmEr at its relaxed geometry. The functional is GGA-PBE.

Output
V (A^3/atom): 28.32
Offset from the most stable computed form (eV/atom): 0.1358
Formation energy (eV/atom): 0.29

Unit cell a=3.3252 b=3.3252 c=35.4850 alpha=90.00 beta=90.00 gamma=120.00
Space group R-3m (No. 166, hexagonal axes)
Inequivalent atoms, fractional coordinates:
Li: 0.0000 0.0000 0.0875 [6 per cell]
Sm: 0.0000 0.0000 0.5000 [3 per cell]
Er: 0.0000 0.0000 0.0000 [3 per cell]

This record from Alexandria describes crystalline Li4SmEr at its relaxed geometry. The functional is GGA-PBE.

Output
V (A^3/atom): 23.62
Formation energy (eV/atom): 0.12

Unit cell a=8.277 b=8.277 c=8.277 alpha=90.00 beta=90.00 gamma=90.00
Space group F-43m (No. 216)
Inequivalent atoms, fractional coordinates:
Li: 0.125 0.125 0.125 [16 per cell]
Sm: 0.250 0.250 0.750 [4 per cell]
Er: 0.000 0.000 0.500 [4 per cell]

This record from Alexandria describes crystalline LiSmEr2 at its relaxed geometry. The functional is GGA-PBE.

Output
V (A^3/atom): 31.36
Offset from the most stable computed form (eV/atom): 0.1251
Formation energy (eV/atom): 0.20

Unit cell a=3.4595 b=3.4595 c=36.3122 alpha=90.00 beta=90.00 gamma=120.00
Space group R-3m (No. 166, hexagonal axes)
Inequivalent atoms, fractional coordinates:
Li: 0.0000 0.0000 0.0000 [3 per cell]
Sm: 0.0000 0.0000 0.5000 [3 per cell]
Er: 0.0000 0.0000 0.0881 [6 per cell]

This record from Alexandria describes crystalline LiSmEr2 at its relaxed geometry. The functional is GGA-PBE.

Output
V (A^3/atom): 29.68
Offset from the most stable computed form (eV/atom): 0.0423
Formation energy (eV/atom): 0.12

Unit cell a=6.064 b=3.506 c=11.346 alpha=90.00 beta=100.21 gamma=90.00
Space group Cm (No. 8)
Inequivalent atoms, fractional coordinates:
Li: 0.000 0.000 0.000 [2 per cell]
Sm: 0.333 0.500 0.500 [2 per cell]
Er: 0.086 0.500 0.760 [2 per cell]
Er: 0.414 0.000 0.241 [2 per cell]

This record from Alexandria describes crystalline LiSm5Er4 at its relaxed geometry. The functional is GGA-PBE.

Output
V (A^3/atom): 31.11
Formation energy (eV/atom): 0.04

Unit cell a=3.586 b=3.586 c=24.192 alpha=90.00 beta=90.00 gamma=90.00
Space group P4/mmm (No. 123)
Inequivalent atoms, fractional coordinates:
Li: 0.000 0.000 0.000 [1 per cell]
Sm: 0.500 0.500 0.088 [2 per cell]
Sm: 0.500 0.500 0.293 [2 per cell]
Sm: 0.500 0.500 0.500 [1 per cell]
Er: 0.000 0.000 0.189 [2 per cell]
Er: 0.000 0.000 0.396 [2 per cell]

This record from Alexandria describes crystalline LiSmEr2 at its relaxed geometry. The functional is GGA-PBE.

Output
V (A^3/atom): 29.14
Offset from the most stable computed form (eV/atom): 0.1071
Formation energy (eV/atom): 0.18

Unit cell a=5.622 b=5.622 c=3.688 alpha=90.00 beta=90.00 gamma=90.00
Space group P4/mmm (No. 123)
Inequivalent atoms, fractional coordinates:
Li: 0.000 0.000 0.000 [1 per cell]
Sm: 0.500 0.500 0.000 [1 per cell]
Er: 0.000 0.500 0.500 [2 per cell]

This record from Alexandria describes crystalline Li2Sm2ErSn2 at its relaxed geometry. The functional is GGA-PBE.

Output
V (A^3/atom): 25.48
Formation energy (eV/atom): -0.45

Unit cell a=4.7774 b=4.7774 c=27.0661 alpha=90.00 beta=90.00 gamma=120.00
Space group R-3m (No. 166, hexagonal axes)
Inequivalent atoms, fractional coordinates:
Li: 0.0000 0.0000 0.1049 [6 per cell]
Sm: 0.0000 0.0000 0.3722 [6 per cell]
Er: 0.0000 0.0000 0.5000 [3 per cell]
Sn: 0.0000 0.0000 0.2333 [6 per cell]

This record from Alexandria describes crystalline LiTbSmEr at its relaxed geometry. The functional is GGA-PBE.

Output
V (A^3/atom): 29.37
Formation energy (eV/atom): 0.17

Unit cell a=7.775 b=7.775 c=7.775 alpha=90.00 beta=90.00 gamma=90.00
Space group F-43m (No. 216)
Inequivalent atoms, fractional coordinates:
Li: 0.000 0.000 0.000 [4 per cell]
Tb: 0.250 0.250 0.750 [4 per cell]
Sm: 0.250 0.250 0.250 [4 per cell]
Er: 0.000 0.000 0.500 [4 per cell]

This record from Alexandria describes crystalline LiSmErTc at its relaxed geometry. The functional is GGA-PBE.

Output
V (A^3/atom): 21.52
Formation energy (eV/atom): -0.01

Unit cell a=7.008 b=7.008 c=7.008 alpha=90.00 beta=90.00 gamma=90.00
Space group F-43m (No. 216)
Inequivalent atoms, fractional coordinates:
Li: 0.000 0.000 0.000 [4 per cell]
Sm: 0.250 0.250 0.750 [4 per cell]
Er: 0.250 0.250 0.250 [4 per cell]
Tc: 0.000 0.000 0.500 [4 per cell]

This record from Alexandria describes crystalline LiSm4Er3Te8 at its relaxed geometry. The functional is GGA-PBE.

Output
V (A^3/atom): 29.59
Energy relative to the elements, uncorrected (meV/atom): -1320

Unit cell a=8.7089 b=8.7089 c=21.6233 alpha=90.00 beta=90.00 gamma=120.00
Space group R-3m (No. 166, hexagonal axes)
Inequivalent atoms, fractional coordinates:
Li: 0.0000 0.0000 0.0000 [3 per cell]
Sm: 0.0000 0.0000 0.5000 [3 per cell]
Sm: 0.0000 0.5000 0.5000 [9 per cell]
Er: 0.0000 0.5000 0.0000 [9 per cell]
Te: 0.0000 0.0000 0.2535 [6 per cell]
Te: 0.0061 0.5030 0.7450 [18 per cell]

This record from Alexandria describes crystalline LiSm2Er3Te6 at its relaxed geometry. The functional is GGA-PBE.

Output
V (A^3/atom): 29.27
Energy relative to the elements, uncorrected (meV/atom): -1309

Unit cell a=19.043 b=4.342 c=8.735 alpha=90.00 beta=103.45 gamma=90.00
Space group C2/m (No. 12)
Inequivalent atoms, fractional coordinates:
Li: 0.000 0.000 0.000 [2 per cell]
Sm: 0.171 0.500 0.343 [4 per cell]
Er: 0.000 0.000 0.500 [2 per cell]
Er: 0.170 0.500 0.832 [4 per cell]
Te: 0.002 0.500 0.756 [4 per cell]
Te: 0.162 0.000 0.590 [4 per cell]
Te: 0.163 0.000 0.075 [4 per cell]

This record from Alexandria describes crystalline Li4SmEr3Te8 at its relaxed geometry. The functional is GGA-PBE.

Output
V (A^3/atom): 28.80
Energy relative to the elements, uncorrected (meV/atom): -1283

Unit cell a=8.6825 b=8.6825 c=21.1767 alpha=90.00 beta=90.00 gamma=120.00
Space group R-3m (No. 166, hexagonal axes)
Inequivalent atoms, fractional coordinates:
Li: 0.0000 0.0000 0.0000 [3 per cell]
Li: 0.0000 0.5000 0.0000 [9 per cell]
Sm: 0.0000 0.0000 0.5000 [3 per cell]
Er: 0.0000 0.5000 0.5000 [9 per cell]
Te: 0.0000 0.0000 0.2508 [6 per cell]
Te: 0.0058 0.5029 0.7481 [18 per cell]

This record from Alexandria describes crystalline LiSm2ErTe4 at its relaxed geometry. The functional is GGA-PBE.

Output
V (A^3/atom): 29.49
Energy relative to the elements, uncorrected (meV/atom): -1331

Unit cell a=7.550 b=4.350 c=7.604 alpha=90.00 beta=109.12 gamma=90.00
Space group P2/m (No. 10)
Inequivalent atoms, fractional coordinates:
Li: 0.000 0.000 0.000 [1 per cell]
Sm: 0.000 0.500 0.500 [1 per cell]
Sm: 0.500 0.000 0.500 [1 per cell]
Er: 0.500 0.500 0.000 [1 per cell]
Te: 0.241 0.500 0.234 [2 per cell]
Te: 0.249 0.000 0.764 [2 per cell]

This record from Alexandria describes crystalline Li2SmErTe4 at its relaxed geometry. The functional is GGA-PBE.

Output
V (A^3/atom): 29.17
Energy relative to the elements, uncorrected (meV/atom): -1287

Unit cell a=7.499 b=4.368 c=7.562 alpha=90.00 beta=109.58 gamma=90.00
Space group P2/m (No. 10)
Inequivalent atoms, fractional coordinates:
Li: 0.000 0.000 0.000 [1 per cell]
Li: 0.000 0.500 0.500 [1 per cell]
Sm: 0.500 0.000 0.500 [1 per cell]
Er: 0.500 0.500 0.000 [1 per cell]
Te: 0.242 0.500 0.242 [2 per cell]
Te: 0.245 0.000 0.755 [2 per cell]

This record from Alexandria describes crystalline Li2SmErTl4 at its relaxed geometry. The functional is GGA-PBE.

Output
V (A^3/atom): 24.92
Formation energy (eV/atom): -0.32

Unit cell a=5.2069 b=5.2069 c=25.4686 alpha=90.00 beta=90.00 gamma=120.00
Space group R-3m (No. 166, hexagonal axes)
Inequivalent atoms, fractional coordinates:
Li: 0.0000 0.0000 0.2494 [6 per cell]
Sm: 0.0000 0.0000 0.0000 [3 per cell]
Er: 0.0000 0.0000 0.5000 [3 per cell]
Tl: 0.0000 0.0000 0.1266 [6 per cell]
Tl: 0.0000 0.0000 0.3768 [6 per cell]

This record from Alexandria describes crystalline LiSmErTl at its relaxed geometry. The functional is GGA-PBE.

Output
V (A^3/atom): 26.59
Formation energy (eV/atom): -0.19

Unit cell a=7.521 b=7.521 c=7.521 alpha=90.00 beta=90.00 gamma=90.00
Space group F-43m (No. 216)
Inequivalent atoms, fractional coordinates:
Li: 0.000 0.000 0.000 [4 per cell]
Sm: 0.250 0.250 0.750 [4 per cell]
Er: 0.250 0.250 0.250 [4 per cell]
Tl: 0.000 0.000 0.500 [4 per cell]

This record from Alexandria describes crystalline LiSmEr2Tl4 at its relaxed geometry. The functional is GGA-PBE.

Output
V (A^3/atom): 26.32
Formation energy (eV/atom): -0.32

Unit cell a=5.2387 b=5.2387 c=26.5825 alpha=90.00 beta=90.00 gamma=120.00
Space group R-3m (No. 166, hexagonal axes)
Inequivalent atoms, fractional coordinates:
Li: 0.0000 0.0000 0.0000 [3 per cell]
Sm: 0.0000 0.0000 0.5000 [3 per cell]
Er: 0.0000 0.0000 0.2544 [6 per cell]
Tl: 0.0000 0.0000 0.1214 [6 per cell]
Tl: 0.0000 0.0000 0.3720 [6 per cell]

Number 1: electronic total energy -3.86 eV per atom, total magnetic moment 0.00 μB per cell, mass density 7.150 g cm⁻³. Number 2: electronic total energy -3.12 eV per atom, total magnetic moment 0.00 μB per cell, mass density 5.301 g cm⁻³. Number 3: electronic total energy -3.12 eV per atom, total magnetic moment 0.00 μB per cell, mass density 5.315 g cm⁻³. Number 4: electronic total energy -2.99 eV per atom, total magnetic moment 0.00 μB per cell, mass density 4.860 g cm⁻³. Number 5: electronic total energy -2.71 eV per atom, total magnetic moment 0.00 μB per cell, mass density 4.046 g cm⁻³. Number 6: electronic total energy -3.74 eV per atom, total magnetic moment 0.00 μB per cell, mass density 6.510 g cm⁻³. Number 7: electronic total energy -3.82 eV per atom, total magnetic moment 0.00 μB per cell, mass density 6.879 g cm⁻³. Number 8: electronic total energy -4.34 eV per atom, total magnetic moment 0.00 μB per cell, mass density 7.621 g cm⁻³. Number 9: electronic total energy -3.76 eV per atom, total magnetic moment 0.00 μB per cell, mass density 7.006 g cm⁻³. Number 10: electronic total energy -4.14 eV per atom, total magnetic moment 0.00 μB per cell, mass density 6.698 g cm⁻³. Number 11: electronic total energy -3.79 eV per atom, total magnetic moment 0.00 μB per cell, mass density 6.834 g cm⁻³. Number 12: electronic total energy -5.40 eV per atom, total magnetic moment 0.00 μB per cell, mass density 8.153 g cm⁻³. Number 13: electronic total energy -5.05 eV per atom, total magnetic moment 0.00 μB per cell, mass density 7.474 g cm⁻³. Number 14: electronic total energy -4.97 eV per atom, total magnetic moment 0.00 μB per cell, mass density 7.447 g cm⁻³. Number 15: electronic total energy -4.48 eV per atom, total magnetic moment 0.00 μB per cell, mass density 6.128 g cm⁻³. Number 16: electronic total energy -4.89 eV per atom, total magnetic moment 0.00 μB per cell, mass density 6.935 g cm⁻³. Number 17: electronic total energy -4.50 eV per atom, total magnetic moment 0.00 μB per cell, mass density 5.990 g cm⁻³. Number 18: electronic total energy -3.14 eV per atom, total magnetic moment 0.00 μB per cell, mass density 9.572 g cm⁻³. Number 19: electronic total energy -3.58 eV per atom, total magnetic moment 0.00 μB per cell, mass density 8.257 g cm⁻³. Number 20: electronic total energy -3.47 eV per atom, total magnetic moment 0.00 μB per cell, mass density 10.324 g cm⁻³.